CuAuN | PBE | relaxed

Cell lengths 2.908, 5.284, 5.284 Å; angles 32.37, 90.00, 90.00 degrees
Fractional positions:
1 Cu 0.000 0.000 0.000
2 Au 0.500 0.683 0.683
3 N 0.500 0.888 0.888

Results
calculated total energy = -4.282 eV per atom
formation energy without anion corrections = 21.94 kcal/mol of atoms
N(E_F) = 1.35 states/eV/cell
ΔE to the lowest computed polymorph = 15.02 kcal/mol of atoms

---

Cu2AuN2 | PBE | relaxed

Cell lengths 4.893, 4.893, 4.893 Å; angles 129.55, 129.55, 74.13 degrees
Fractional positions:
1 Cu 0.250 0.750 0.500
2 Cu 0.750 0.250 0.500
3 Au 0.000 0.000 0.000
4 N 0.426 0.426 0.000
5 N 0.574 0.574 0.000

Results
calculated total energy = -4.793 eV per atom
formation energy without anion corrections = 19.16 kcal/mol of atoms
N(E_F) = 2.53 states/eV/cell
ΔE to the lowest computed polymorph = 0.00 kcal/mol of atoms

---

Cu6AuN2 | PBE | relaxed

Cell lengths 3.873, 3.873, 7.870 Å; angles 90.00, 90.00, 90.00 degrees
Fractional positions:
1 Cu 0.000 0.000 0.000
2 Cu 0.000 0.000 0.500
3 Cu 0.000 0.500 0.250
4 Cu 0.000 0.500 0.750
5 Cu 0.500 0.000 0.250
6 Cu 0.500 0.000 0.750
7 Au 0.500 0.500 0.000
8 N 0.000 0.000 0.262
9 N 0.000 0.000 0.738

Results
calculated total energy = -4.704 eV per atom
formation energy without anion corrections = 5.55 kcal/mol of atoms
N(E_F) = 2.79 states/eV/cell

---

CuAuN | PBE | relaxed

Cell lengths 3.323, 3.323, 3.721 Å; angles 90.00, 90.00, 90.00 degrees
Fractional positions:
1 Cu 0.000 0.000 0.000
2 Au 0.500 0.500 0.449
3 N 0.000 0.000 0.500

Results
calculated total energy = -4.427 eV per atom
formation energy without anion corrections = 18.58 kcal/mol of atoms
N(E_F) = 0.91 states/eV/cell
ΔE to the lowest computed polymorph = 11.66 kcal/mol of atoms

---

NbCu2AuN | PBE | relaxed

Cell lengths 4.809, 4.809, 5.099 Å; angles 90.00, 90.00, 90.00 degrees
Fractional positions:
1 Nb 0.000 0.000 0.000
2 Cu 0.000 0.500 0.000
3 Cu 0.500 0.000 0.000
4 Au 0.000 0.000 0.500
5 N 0.500 0.500 0.500

Results
calculated total energy = -3.471 eV per atom
formation energy without anion corrections = 57.70 kcal/mol of atoms
N(E_F) = 6.75 states/eV/cell

---

Cu2NiAuN | PBE | relaxed

Cell lengths 3.940, 3.940, 3.811 Å; angles 90.00, 90.00, 90.00 degrees
Fractional positions:
1 Cu 0.000 0.500 0.000
2 Cu 0.500 0.000 0.000
3 Ni 0.000 0.000 0.500
4 Au 0.500 0.500 0.500
5 N 0.000 0.000 0.000

Results
calculated total energy = -5.024 eV per atom
formation energy without anion corrections = 2.11 kcal/mol of atoms
N(E_F) = 0.87 states/eV/cell

---

CuAuN2O | PBE | relaxed

Cell lengths 3.850, 3.850, 3.747 Å; angles 90.00, 90.00, 90.00 degrees
Fractional positions:
1 Cu 0.000 0.000 0.000
2 Au 0.500 0.500 0.500
3 N 0.000 0.500 0.000
4 N 0.500 0.000 0.000
5 O 0.000 0.000 0.500

Results
calculated total energy = -4.124 eV per atom
formation energy without anion corrections = 38.56 kcal/mol of atoms
N(E_F) = 6.31 states/eV/cell

---

CuAuN2O | PBE | relaxed

Cell lengths 3.942, 3.942, 4.313 Å; angles 90.00, 90.00, 90.00 degrees
Fractional positions:
1 Cu 0.000 0.000 0.000
2 Au 0.500 0.500 0.500
3 N 0.000 0.500 0.500
4 N 0.500 0.000 0.500
5 O 0.500 0.500 0.000

Results
calculated total energy = -3.796 eV per atom
formation energy without anion corrections = 46.12 kcal/mol of atoms
N(E_F) = 6.41 states/eV/cell